#one
# Dy7Ag2Rh2, optimized geometry, DFT PBE-GGA
# N(E_F)	1.14	states/eV/atom
# crystal system	orthorhombic
# total moment	0.0000	μB per atom
data_Dy7Ag2Rh2
_space_group_name_H-M_alt 'P 1'
_space_group_IT_number 1
_space_group_name_Hall 'P 1'
_cell_length_a 3.7706
_cell_length_b 9.4079
_cell_length_c 9.4079
_cell_angle_alpha 61.63
_cell_angle_beta 78.44
_cell_angle_gamma 78.44
loop_
_atom_site_label
_atom_site_type_symbol
_atom_site_fract_x
_atom_site_fract_y
_atom_site_fract_z
_atom_site_occupancy
Dy1 Dy 0.8164 0.0854 0.2819 1
Dy2 Dy 0.8574 0.3983 0.8869 1
Dy3 Dy 0.5000 0.0207 0.9793 1
Dy4 Dy 0.6239 0.4749 0.2774 1
Dy5 Dy 0.3761 0.7226 0.5251 1
Dy6 Dy 0.1836 0.7181 0.9146 1
Dy7 Dy 0.1426 0.1131 0.6017 1
Ag1 Ag 0.0000 0.7611 0.2389 1
Ag2 Ag 0.5000 0.3515 0.6485 1
Rh1 Rh 0.7427 0.8613 0.6532 1
Rh2 Rh 0.2573 0.3468 0.1387 1

=====

#two
# Dy7Ag2Rh2, optimized geometry, DFT PBE-GGA
# N(E_F)	1.07	states/eV/atom
# crystal system	orthorhombic
# total moment	0.0000	μB per atom
data_Dy7Ag2Rh2
_space_group_name_H-M_alt 'P 1'
_space_group_IT_number 1
_space_group_name_Hall 'P 1'
_cell_length_a 6.6972
_cell_length_b 7.0833
_cell_length_c 6.6972
_cell_angle_alpha 90.00
_cell_angle_beta 108.06
_cell_angle_gamma 90.00
loop_
_atom_site_label
_atom_site_type_symbol
_atom_site_fract_x
_atom_site_fract_y
_atom_site_fract_z
_atom_site_occupancy
Dy1 Dy 0.0000 0.2559 0.5000 1
Dy2 Dy 0.5000 0.7441 0.0000 1
Dy3 Dy 0.0000 0.7441 0.5000 1
Dy4 Dy 0.5000 0.2559 0.0000 1
Dy5 Dy 0.0000 0.0000 0.0000 1
Dy6 Dy 0.5000 0.7506 0.5000 1
Dy7 Dy 0.5000 0.2494 0.5000 1
Ag1 Ag 0.8199 0.5000 0.8199 1
Ag2 Ag 0.1801 0.5000 0.1801 1
Rh1 Rh 0.7105 0.0000 0.2895 1
Rh2 Rh 0.2895 0.0000 0.7105 1

=====

Most stable structure: #one

=====

#one
# Dy3Ag2Rh, optimized geometry, DFT PBE-GGA
# N(E_F)	0.86	states/eV/atom
# crystal system	trigonal
# total moment	0.0000	μB per atom
data_Dy3Ag2Rh
_space_group_name_H-M_alt 'P 1'
_space_group_IT_number 1
_space_group_name_Hall 'P 1'
_cell_length_a 5.0206
_cell_length_b 5.0206
_cell_length_c 6.2032
_cell_angle_alpha 90.00
_cell_angle_beta 90.00
_cell_angle_gamma 120.00
loop_
_atom_site_label
_atom_site_type_symbol
_atom_site_fract_x
_atom_site_fract_y
_atom_site_fract_z
_atom_site_occupancy
Dy1 Dy 0.0000 0.0000 0.5000 1
Dy2 Dy 0.6667 0.3333 0.8514 1
Dy3 Dy 0.3333 0.6667 0.1486 1
Ag1 Ag 0.6667 0.3333 0.3477 1
Ag2 Ag 0.3333 0.6667 0.6523 1
Rh1 Rh 0.0000 0.0000 0.0000 1

=====

#two
# Dy3Ag2Rh, optimized geometry, DFT PBE-GGA
# N(E_F)	0.72	states/eV/atom
# crystal system	monoclinic
# total moment	0.0000	μB per atom
data_Dy3Ag2Rh
_space_group_name_H-M_alt 'P 1'
_space_group_IT_number 1
_space_group_name_Hall 'P 1'
_cell_length_a 5.7867
_cell_length_b 7.8528
_cell_length_c 7.5925
_cell_angle_alpha 104.93
_cell_angle_beta 112.40
_cell_angle_gamma 90.00
loop_
_atom_site_label
_atom_site_type_symbol
_atom_site_fract_x
_atom_site_fract_y
_atom_site_fract_z
_atom_site_occupancy
Dy1 Dy 0.5014 0.2500 0.0000 1
Dy2 Dy 0.4986 0.7500 0.0000 1
Dy3 Dy 0.1382 0.0698 0.2799 1
Dy4 Dy 0.8583 0.4302 0.7201 1
Dy5 Dy 0.1417 0.5698 0.2799 1
Dy6 Dy 0.8618 0.9302 0.7201 1
Ag1 Ag 0.6839 0.5910 0.3640 1
Ag2 Ag 0.6801 0.0910 0.3640 1
Ag3 Ag 0.3199 0.9090 0.6360 1
Ag4 Ag 0.3161 0.4090 0.6360 1
Rh1 Rh 0.9984 0.7500 0.0000 1
Rh2 Rh 0.0016 0.2500 0.0000 1

=====

Most stable structure: #one